The following is a PBE calculation of crystalline ThGaSn at its relaxed geometry, from the Alexandria database.

Results
**Total DFT energy (no corrections)**: -31.629 eV per cell
**Formation energy from the elements**: -0.46 eV per atom
**Space-group type**: Cmcm, No. 63

Cell: 8.8040 8.8040 4.2321 Å, 90.00 90.00 151.05°
With the nearest neighbours (Å) after each atom.
Atoms (fractional coordinates):
Th (0.0965, 0.9035, 0.7500)  6 Ga 3.17-3.28, 4 Sn 3.38-3.41
Th (0.9035, 0.0965, 0.2500)  6 Ga 3.17-3.28, 4 Sn 3.38-3.41
Ga (0.4536, 0.5464, 0.7500)  2 Ga 2.64
Ga (0.5464, 0.4536, 0.2500)  2 Ga 2.64
Sn (0.2531, 0.7469, 0.2500)  4 Sn 3.05, 4 Th 3.38-3.41
Sn (0.7469, 0.2531, 0.7500)  4 Sn 3.05, 4 Th 3.38-3.41